(1)
This record from Alexandria describes a relaxed structure of BaZrIr3. The functional is PBE.

Calculated values
**Calculated volume**: 125.1 Å³/f.u.
**ΔE to the lowest computed polymorph**: 1.655 eV/atom
**Total magnetization**: 0.0 μB/f.u.
**Symmetry**: Pm-3m (221)
**Electronic total energy**: -5.114 eV/atom

Lattice parameters (Å, degrees): 5.002 5.002 5.002 90.00 90.00 90.00
Element x y z (fractional)
Ba: 0.000 0.000 0.000
Zr: 0.500 0.500 0.500
Ir: 0.000 0.000 0.500
Ir: 0.000 0.500 0.000
Ir: 0.500 0.000 0.000

***

(2)
This record from Alexandria describes a relaxed structure of CaSc2TcO8. The functional is PBE.

Calculated values
**Calculated volume**: 154.9 Å³/f.u.
**Total magnetization**: 0.8 μB/f.u.
**Symmetry**: Cmmm (65)
**Electronic total energy**: -7.709 eV/atom
**ΔE_f (raw)**: -2.3181 eV/atom

Lattice parameters (Å, degrees): 4.841 4.841 6.612 90.00 90.00 90.35
Element x y z (fractional)
Ca: 0.000 0.000 0.000
Sc: 0.500 0.500 0.252
Sc: 0.500 0.500 0.748
Tc: 0.000 0.000 0.500
O: 0.192 0.808 0.298
O: 0.192 0.808 0.702
O: 0.286 0.286 0.500
O: 0.326 0.326 0.000
O: 0.674 0.674 0.000
O: 0.714 0.714 0.500
O: 0.808 0.192 0.298
O: 0.808 0.192 0.702

***

(3)
This record from Alexandria describes a relaxed structure of V2GeSbP. The functional is PBE.

Calculated values
**Calculated volume**: 101.2 Å³/f.u.
**Total magnetization**: 4.8 μB/f.u.
**Symmetry**: P4/mmm (123)
**Electronic total energy**: -6.079 eV/atom
**ΔE_f (raw)**: 0.3981 eV/atom

Lattice parameters (Å, degrees): 4.624 4.624 4.735 90.00 90.00 90.00
Element x y z (fractional)
V: 0.000 0.500 0.000
V: 0.500 0.000 0.000
Ge: 0.000 0.000 0.500
Sb: 0.500 0.500 0.500
P: 0.000 0.000 0.000

***

(4)
This record from Alexandria describes a relaxed structure of LiAlZn. The functional is PBE.

Calculated values
**Calculated volume**: 48.5 Å³/f.u.
**ΔE to the lowest computed polymorph**: 0.000 eV/atom
**Total magnetization**: 0.0 μB/f.u.
**Symmetry**: P3m1 (156)
**Electronic total energy**: -2.427 eV/atom

Lattice parameters (Å, degrees): 4.385 4.385 2.914 90.00 90.00 120.00
Element x y z (fractional)
Li: 0.000 0.000 0.000
Al: 0.333 0.667 0.548
Zn: 0.667 0.333 0.412

***

(5)
This record from Alexandria describes a relaxed structure of Y2Be3Si4Ni. The functional is PBE.

Calculated values
**Calculated volume**: 145.1 Å³/f.u.
**Total magnetization**: 0.0 μB/f.u.
**Symmetry**: P-4m2 (115)
**Electronic total energy**: -5.673 eV/atom
**ΔE_f (raw)**: -0.5147 eV/atom

Lattice parameters (Å, degrees): 3.885 3.885 9.619 90.00 90.00 90.00
Element x y z (fractional)
Y: 0.000 0.500 0.249
Y: 0.500 0.000 0.751
Be: 0.000 0.000 0.000
Be: 0.000 0.500 0.634
Be: 0.500 0.000 0.366
Si: 0.000 0.000 0.500
Si: 0.000 0.500 0.869
Si: 0.500 0.000 0.131
Si: 0.500 0.500 0.500
Ni: 0.500 0.500 0.000

***

(6)
This record from Alexandria describes a relaxed structure of Sr2Tl2Ga. The functional is PBE.

Calculated values
**Calculated volume**: 175.4 Å³/f.u.
**ΔE to the lowest computed polymorph**: 0.267 eV/atom
**Total magnetization**: 0.0 μB/f.u.
**Symmetry**: P4/mbm (127)
**Electronic total energy**: -2.347 eV/atom

Lattice parameters (Å, degrees): 9.119 9.119 4.219 90.00 90.00 90.00
Element x y z (fractional)
Sr: 0.167 0.333 0.000
Sr: 0.333 0.833 0.000
Sr: 0.667 0.167 0.000
Sr: 0.833 0.667 0.000
Tl: 0.133 0.633 0.500
Tl: 0.367 0.133 0.500
Tl: 0.633 0.867 0.500
Tl: 0.867 0.367 0.500
Ga: 0.000 0.000 0.000
Ga: 0.500 0.500 0.000